Below is a relaxed NdClO2 crystal, with properties calculated at the GGA-PBE level.

Computed properties:
**SG**: P2_1/m (11)
**Total DFT energy (no corrections)**: -49.89 eV for the cell shown
**Energy relative to the elements, uncorrected**: -2.10 eV/atom
**N(E_F)**: 0.0 states/eV per cell
**Magnetization**: 0.000 μB per formula unit

Cell: 5.037 4.369 6.574 Å, 90.00 107.45 90.00°
Sites, in units of the cell vectors:
Nd (0.184, 0.250, 0.333)
Nd (0.816, 0.750, 0.667)
Cl (0.213, 0.250, 0.909)
Cl (0.787, 0.750, 0.091)
O (0.245, 0.750, 0.545)
O (0.386, 0.750, 0.375)
O (0.614, 0.250, 0.625)
O (0.755, 0.250, 0.455)